The following is a PBE with a Hubbard U calculation of crystalline Ac2V3O10 at its relaxed geometry, from the Alexandria database.

a = 17.754 Å, b = 5.754 Å, c = 7.764 Å
α = 90.00°, β = 111.86°, γ = 90.00°
Space group C2/m (No. 12)
Unique sites:
Ac1 0.110 0.000 0.219 x4
Ac2 0.213 0.000 0.804 x4
V1 0.000 0.241 0.500 x4
V2 0.077 0.500 0.944 x4
V3 0.181 0.500 0.514 x4
O1 0.000 0.284 0.000 x4
O2 0.019 0.000 0.679 x4
O3 0.026 0.500 0.696 x4
O4 0.110 0.255 0.525 x8
O5 0.138 0.500 0.256 x4
O6 0.147 0.267 0.976 x8
O7 0.234 0.500 0.763 x4
O8 0.250 0.250 0.500 x4

Results
total DFT energy (no corrections): -468.98 eV for the cell shown